No. 1
VASP calculation (GGA-PBE) on crystalline LiLa2BiH at its relaxed geometry.

a b c (Å): 5.0127 5.0127 4.7071
angles (deg): 90.00 90.00 90.00
Last column: nearest neighbours and their distance in Å.
Positions (direct):
H  0.0000  0.0000  0.0000  2 Li 2.35, 4 La 2.51
Li  0.0000  0.0000  0.5000  2 H 2.35
Bi  0.5000  0.5000  0.5000  8 La 3.44, 4 Li 3.54
La  0.0000  0.5000  0.0000  2 H 2.51
La  0.5000  0.0000  0.0000  2 H 2.51

Space group = P4/mmm, No. 123



No. 2
VASP calculation (GGA-PBE) on crystalline LaMn2BiH at its relaxed geometry.

a b c (Å): 5.9207 6.1195 5.9207
angles (deg): 90.00 90.00 90.00
Last column: nearest neighbours and their distance in Å.
Positions (direct):
H  0.5000  0.5000  0.5000  4 Bi 4.19, 8 Mn 4.26
Mn  0.0000  0.0000  0.5000  2 La 2.96
Mn  0.5000  0.0000  0.0000  2 La 2.96
Bi  0.0000  0.5000  0.0000  2 La 3.06
La  0.0000  0.0000  0.0000  4 Mn 2.96, 2 Bi 3.06

Space group = P4/mmm, No. 123



No. 3
VASP calculation (GGA-PBE) on crystalline NaLaBi2H at its relaxed geometry.

a b c (Å): 5.2740 5.2740 4.5790
angles (deg): 90.00 90.00 90.00
Last column: nearest neighbours and their distance in Å.
Positions (direct):
Na  0.5000  0.5000  0.5000  8 Bi 3.49, 4 La 3.73
Bi  0.0000  0.5000  0.0000  2 H 2.64
Bi  0.5000  0.0000  0.0000  2 H 2.64
H  0.0000  0.0000  0.0000  2 La 2.29
La  0.0000  0.0000  0.5000  2 H 2.29

Space group = P4/mmm, No. 123



No. 4
VASP calculation (GGA-PBE) on crystalline Na2LaBiH at its relaxed geometry.

a b c (Å): 4.8142 4.8142 5.1811
angles (deg): 90.00 90.00 90.00
Last column: nearest neighbours and their distance in Å.
Positions (direct):
Na  0.0000  0.5000  0.0000  2 H 2.41
Na  0.5000  0.0000  0.0000  2 H 2.41
Bi  0.5000  0.5000  0.5000  4 La 3.40, 8 Na 3.54
H  0.0000  0.0000  0.0000  4 Na 2.41, 2 La 2.59
La  0.0000  0.0000  0.5000  2 H 2.59

Space group = P4/mmm, No. 123



No. 5
VASP calculation (GGA-PBE) on crystalline La4Nd2Bi3H2 at its relaxed geometry.

a b c (Å): 4.8733 4.8733 13.7989
angles (deg): 100.17 100.17 90.00
Last column: nearest neighbours and their distance in Å.
Positions (direct):
La  0.4154  0.9154  0.8309  2 H 2.52
La  0.9154  0.4154  0.8309  2 H 2.52
La  0.0846  0.5846  0.1691  2 H 2.52
La  0.5846  0.0846  0.1691  2 H 2.52
Nd  0.3000  0.3000  0.5999  1 H 2.46
Nd  0.7000  0.7000  0.4001  1 H 2.46
Bi  0.0000  0.0000  0.0000  8 La 3.32
Bi  0.1770  0.1769  0.3539  5 Nd 3.29-3.50, 4 La 3.47
Bi  0.8230  0.8231  0.6461  5 Nd 3.29-3.50, 4 La 3.47
H  0.3920  0.3920  0.7839  1 Nd 2.46, 4 La 2.52
H  0.6080  0.6080  0.2161  1 Nd 2.46, 4 La 2.52

Space group = I4/mmm, No. 139



No. 6
VASP calculation (GGA-PBE) on crystalline LaNiBiH2 at its relaxed geometry.

a b c (Å): 4.2778 5.9946 6.5781
angles (deg): 90.00 90.00 110.90
Last column: nearest neighbours and their distance in Å.
Positions (direct):
La  0.7108  0.4216  0.7500  6 H 2.58-2.62
La  0.2892  0.5784  0.2500  6 H 2.58-2.62
Ni  0.0000  0.0000  0.0000  2 H 1.64
Ni  0.0000  0.0000  0.5000  2 H 1.64
Bi  0.4328  0.8655  0.7500  4 Ni 2.80, 4 H 3.04, 1 La 3.11
Bi  0.5672  0.1345  0.2500  4 Ni 2.80, 4 H 3.04, 1 La 3.11
H  0.1430  0.2859  0.9476  1 Ni 1.64
H  0.8570  0.7141  0.0524  1 Ni 1.64
H  0.1430  0.2859  0.5524  1 Ni 1.64
H  0.8570  0.7141  0.4476  1 Ni 1.64

Space group = Cmcm, No. 63



What did we get for DOS at the Fermi energy? Answer: 3.947, 4.838, 3.244, 2.546, 9.345, 1.596 states/eV per cell, in the order shown.
What did we get for E? Answer: -4.370, -4.372, -3.817, -3.414, -4.972, -4.714 eV per atom, in the order shown.